i | Computed, not measured: crystalline AgBi2Mo2 at its relaxed geometry at the PBE level of DFT.

Computed properties:
Theoretical density ... 9827 kg/m³
Crystal system ... tetragonal
Symmetry ... No. 139

abc: 5.6080 5.6080 5.6080
angles: 121.73 121.73 87.03
Closest atoms and distances in Å follow each position.
Fractional positions:
Ag (0.0000, 0.0000, 0.0000)  2 Mo 2.99
Bi (0.2500, 0.7500, 0.5000)  4 Mo 2.89
Bi (0.7500, 0.2500, 0.5000)  4 Mo 2.89
Mo (0.3682, 0.3682, 0.0000)  1 Mo 2.14
Mo (0.6318, 0.6318, 0.0000)  1 Mo 2.14

---

ii | Computed, not measured: crystalline AgBi2Mo2 at its relaxed geometry at the PBE level of DFT.

Computed properties:
Theoretical density ... 11326 kg/m³
Crystal system ... tetragonal
Symmetry ... No. 127

abc: 7.5299 7.5299 3.7119
angles: 90.00 90.00 90.00
Closest atoms and distances in Å follow each position.
Fractional positions:
Ag (0.0000, 0.0000, 0.0000)  4 Mo 2.95
Ag (0.5000, 0.5000, 0.0000)  4 Mo 2.95
Bi (0.1650, 0.3350, 0.5000)  6 Mo 2.86-2.91
Bi (0.3350, 0.8350, 0.5000)  6 Mo 2.86-2.91
Bi (0.6650, 0.1650, 0.5000)  6 Mo 2.86-2.91
Bi (0.8350, 0.6650, 0.5000)  6 Mo 2.86-2.91
Mo (0.1303, 0.6303, 0.0000)  1 Mo 2.78, 6 Bi 2.86-2.91, 2 Ag 2.95
Mo (0.3697, 0.1303, 0.0000)  1 Mo 2.78, 6 Bi 2.86-2.91, 2 Ag 2.95
Mo (0.6303, 0.8697, 0.0000)  1 Mo 2.78, 6 Bi 2.86-2.91, 2 Ag 2.95
Mo (0.8697, 0.3697, 0.0000)  1 Mo 2.78, 6 Bi 2.86-2.91, 2 Ag 2.95

---

Most stable: ii (next structure +14.1 kJ/mol of atoms)

---

i | Computed, not measured: crystalline AgBiSeN2 at its relaxed geometry at the PBE level of DFT.

Computed properties:
Theoretical density ... 7312 kg/m³
Crystal system ... tetragonal
Symmetry ... No. 123

abc: 4.2584 4.2584 5.3077
angles: 90.00 90.00 90.00
Closest atoms and distances in Å follow each position.
Fractional positions:
Ag (0.0000, 0.0000, 0.0000)  4 N 2.13
Bi (0.5000, 0.5000, 0.5000)  4 Se 3.01
Se (0.0000, 0.0000, 0.5000)  2 Ag 2.65
N (0.0000, 0.5000, 0.0000)  2 Ag 2.13
N (0.5000, 0.0000, 0.0000)  2 Ag 2.13

---

ii | Computed, not measured: crystalline AgBiSeN2 at its relaxed geometry at the PBE level of DFT.

Computed properties:
Theoretical density ... 6379 kg/m³
Crystal system ... tetragonal
Symmetry ... No. 123

abc: 4.3188 4.3188 5.9154
angles: 90.00 90.00 90.00
Closest atoms and distances in Å follow each position.
Fractional positions:
Ag (0.0000, 0.0000, 0.0000)  4 Se 3.05
Bi (0.5000, 0.5000, 0.5000)  4 N 2.16
Se (0.5000, 0.5000, 0.0000)  2 Bi 2.96, 4 Ag 3.05
N (0.0000, 0.5000, 0.5000)  2 Bi 2.16
N (0.5000, 0.0000, 0.5000)  2 Bi 2.16

---

Most stable: ii (next structure +3.6 kJ/mol of atoms)

---

i | Computed, not measured: crystalline Na2Ag2Bi at its relaxed geometry at the PBE level of DFT.

Computed properties:
Theoretical density ... 6248 kg/m³
Crystal system ... tetragonal
Symmetry ... No. 127

abc: 7.7948 7.7948 4.1177
angles: 90.00 90.00 90.00
Closest atoms and distances in Å follow each position.
Fractional positions:
Na (0.1710, 0.3290, 0.0000)  6 Ag 3.03-3.13
Na (0.3290, 0.8290, 0.0000)  6 Ag 3.03-3.13
Na (0.6710, 0.1710, 0.0000)  6 Ag 3.03-3.13
Na (0.8290, 0.6710, 0.0000)  6 Ag 3.03-3.13
Ag (0.1275, 0.6275, 0.5000)  1 Ag 2.81, 6 Na 3.03-3.13, 2 Bi 3.07
Ag (0.3725, 0.1275, 0.5000)  1 Ag 2.81, 6 Na 3.03-3.13, 2 Bi 3.07
Ag (0.6275, 0.8725, 0.5000)  1 Ag 2.81, 6 Na 3.03-3.13, 2 Bi 3.07
Ag (0.8725, 0.3725, 0.5000)  1 Ag 2.81, 6 Na 3.03-3.13, 2 Bi 3.07
Bi (0.0000, 0.0000, 0.5000)  4 Ag 3.07
Bi (0.5000, 0.5000, 0.5000)  4 Ag 3.07

---

ii | Computed, not measured: crystalline Na2Ag2Bi at its relaxed geometry at the PBE level of DFT.

Computed properties:
Theoretical density ... 6183 kg/m³
Crystal system ... monoclinic
Symmetry ... No. 12

abc: 6.1107 6.1107 9.3913
angles: 108.99 108.99 50.61
Closest atoms and distances in Å follow each position.
Fractional positions:
Na (0.0716, 0.0716, 0.3493)  4 Ag 3.00-3.10, 2 Bi 3.25
Na (0.2892, 0.2892, 0.7812)  4 Ag 3.10-3.33, 3 Bi 3.33-3.43
Na (0.7108, 0.7108, 0.2188)  4 Ag 3.10-3.33, 3 Bi 3.33-3.43
Na (0.9284, 0.9284, 0.6507)  4 Ag 3.00-3.10, 2 Bi 3.25
Ag (0.1223, 0.1223, 0.9847)  1 Ag 2.82, 3 Bi 2.99-3.04, 2 Na 3.10
Ag (0.3621, 0.3621, 0.4818)  2 Bi 2.93-3.25, 1 Ag 2.94, 4 Na 3.00-3.19
Ag (0.6379, 0.6379, 0.5182)  2 Bi 2.93-3.25, 1 Ag 2.94, 4 Na 3.00-3.19
Ag (0.8777, 0.8777, 0.0153)  1 Ag 2.82, 3 Bi 2.99-3.04, 2 Na 3.10
Bi (0.4013, 0.4013, 0.1893)  5 Ag 2.93-3.25, 2 Na 3.25
Bi (0.5987, 0.5987, 0.8107)  5 Ag 2.93-3.25, 2 Na 3.25

---

Most stable: ii (next structure +0.7 kJ/mol of atoms)

---

i | Computed, not measured: crystalline Na2Ag2Bi at its relaxed geometry at the PBE level of DFT.

Computed properties:
Theoretical density ... 6474 kg/m³
Crystal system ... tetragonal
Symmetry ... No. 127

abc: 8.4015 8.4015 3.4208
angles: 90.00 90.00 90.00
Closest atoms and distances in Å follow each position.
Fractional positions:
Na (0.1389, 0.3611, 0.0000)  6 Ag 2.98-3.01, 2 Bi 3.25, 1 Na 3.30
Na (0.3611, 0.8611, 0.0000)  6 Ag 2.98-3.01, 2 Bi 3.25, 1 Na 3.30
Na (0.6389, 0.1389, 0.0000)  6 Ag 2.98-3.01, 2 Bi 3.25, 1 Na 3.30
Na (0.8611, 0.6389, 0.0000)  6 Ag 2.98-3.01, 2 Bi 3.25, 1 Na 3.30
Ag (0.1561, 0.6561, 0.5000)  6 Na 2.98-3.01
Ag (0.3439, 0.1561, 0.5000)  6 Na 2.98-3.01
Ag (0.6561, 0.8439, 0.5000)  6 Na 2.98-3.01
Ag (0.8439, 0.3439, 0.5000)  6 Na 2.98-3.01
Bi (0.0000, 0.0000, 0.0000)  4 Na 3.25, 2 Bi 3.42, 8 Ag 3.60
Bi (0.5000, 0.5000, 0.0000)  4 Na 3.25, 2 Bi 3.42, 8 Ag 3.60

---

ii | Computed, not measured: crystalline Na2Ag2Bi at its relaxed geometry at the PBE level of DFT.

Computed properties:
Theoretical density ... 6175 kg/m³
Crystal system ... tetragonal
Symmetry ... No. 139

abc: 7.5519 7.5519 7.5519
angles: 147.10 147.10 47.21
Closest atoms and distances in Å follow each position.
Fractional positions:
Na (0.2500, 0.7500, 0.5000)  4 Ag 3.01, 4 Na 3.02
Na (0.7500, 0.2500, 0.5000)  4 Ag 3.01, 4 Na 3.02
Ag (0.0968, 0.0968, 0.0000)  1 Ag 2.68
Ag (0.9032, 0.9032, 0.0000)  1 Ag 2.68
Bi (0.5000, 0.5000, 0.0000)  8 Ag 3.31

---

Most stable: i (next structure +7.5 kJ/mol of atoms)

---

i | Computed, not measured: crystalline NaAg3Bi at its relaxed geometry at the PBE level of DFT.

Computed properties:
Theoretical density ... 7463 kg/m³
Crystal system ... cubic
Symmetry ... No. 221

abc: 4.9815 4.9815 4.9815
angles: 90.00 90.00 90.00
Closest atoms and distances in Å follow each position.
Fractional positions:
Na (0.0000, 0.0000, 0.0000)  6 Ag 2.49
Ag (0.0000, 0.0000, 0.5000)  2 Na 2.49
Ag (0.0000, 0.5000, 0.0000)  2 Na 2.49
Ag (0.5000, 0.0000, 0.0000)  2 Na 2.49
Bi (0.5000, 0.5000, 0.5000)  12 Ag 3.52

---

ii | Computed, not measured: crystalline NaAg3Bi at its relaxed geometry at the PBE level of DFT.

Computed properties:
Theoretical density ... 8182 kg/m³
Crystal system ... monoclinic
Symmetry ... No. 14

abc: 8.0506 7.6737 7.5082
angles: 90.00 103.50 90.00
Closest atoms and distances in Å follow each position.
Fractional positions:
Na (0.2470, 0.0836, 0.2442)  4 Ag 2.87-3.01
Na (0.2470, 0.4164, 0.7442)  4 Ag 2.87-3.01
Na (0.7530, 0.5836, 0.2558)  4 Ag 2.87-3.01
Na (0.7530, 0.9164, 0.7558)  4 Ag 2.87-3.01
Ag (0.1515, 0.0544, 0.8401)  2 Ag 2.79-3.03, 2 Na 2.96-3.01, 4 Bi 2.99-3.12
Ag (0.1515, 0.4456, 0.3401)  2 Ag 2.79-3.03, 2 Na 2.96-3.01, 4 Bi 2.99-3.12
Ag (0.4026, 0.0213, 0.6415)  6 Ag 2.79-3.01, 2 Na 2.87-2.99, 1 Bi 3.09
Ag (0.4026, 0.4787, 0.1415)  6 Ag 2.79-3.01, 2 Na 2.87-2.99, 1 Bi 3.09
Ag (0.4540, 0.6784, 0.4952)  6 Ag 2.83-3.03, 1 Bi 3.17
Ag (0.4540, 0.8216, 0.9952)  6 Ag 2.83-3.03, 1 Bi 3.17
Ag (0.5460, 0.1784, 0.0048)  6 Ag 2.83-3.03, 1 Bi 3.17
Ag (0.5460, 0.3216, 0.5048)  6 Ag 2.83-3.03, 1 Bi 3.17
Ag (0.5974, 0.5213, 0.8585)  6 Ag 2.79-3.01, 2 Na 2.87-2.99, 1 Bi 3.09
Ag (0.5974, 0.9787, 0.3585)  6 Ag 2.79-3.01, 2 Na 2.87-2.99, 1 Bi 3.09
Ag (0.8485, 0.5544, 0.6599)  2 Ag 2.79-3.03, 2 Na 2.96-3.01, 4 Bi 2.99-3.12
Ag (0.8485, 0.9456, 0.1599)  2 Ag 2.79-3.03, 2 Na 2.96-3.01, 4 Bi 2.99-3.12
Bi (0.0810, 0.7082, 0.0162)  6 Ag 2.99-3.17, 1 Na 3.31
Bi (0.0810, 0.7918, 0.5162)  6 Ag 2.99-3.17, 1 Na 3.31
Bi (0.9190, 0.2082, 0.4838)  6 Ag 2.99-3.17, 1 Na 3.31
Bi (0.9190, 0.2918, 0.9838)  6 Ag 2.99-3.17, 1 Na 3.31

---

Most stable: ii (next structure +60.4 kJ/mol of atoms)